CsBi4Pd9 | GGA-PBE | optimized geometry

Properties
Final energy = -132.43 eV/cell
Formation energy = -3.10 eV per formula unit
Volume = 21.335 Å³/atom

Structure (CIF):
```
data_CsBi4Pd9
_chemical_formula_sum 'Cs2 Bi8 Pd18'
_cell_length_a 9.265
_cell_length_b 9.265
_cell_length_c 9.558
_cell_angle_alpha 118.99
_cell_angle_beta 118.99
_cell_angle_gamma 90.00
_space_group_name_H-M_alt 'P 1'
_space_group_IT_number 1
loop_
_space_group_symop_operation_xyz
'x,y,z'
loop_
_atom_site_label
_atom_site_fract_x
_atom_site_fract_y
_atom_site_fract_z
_atom_site_occupancy
Pd1 0.203 0.703 0.638 1
Pd2 0.435 0.935 0.638 1
Pd3 0.436 0.707 0.000 1
Pd4 0.207 0.936 0.000 1
Pd5 0.065 0.797 0.362 1
Pd6 0.064 0.207 0.000 1
Pd7 0.565 0.065 0.362 1
Pd8 0.793 0.064 0.000 1
Pd9 0.000 0.500 0.000 1
Pd10 0.703 0.435 0.638 1
Pd11 0.297 0.565 0.362 1
Pd12 0.293 0.436 0.000 1
Pd13 0.936 0.793 0.000 1
Pd14 0.935 0.203 0.638 1
Pd15 0.707 0.564 0.000 1
Pd16 0.797 0.297 0.362 1
Pd17 0.564 0.293 0.000 1
Pd18 0.500 0.000 0.000 1
Cs1 0.750 0.750 0.500 1
Cs2 0.250 0.250 0.500 1
Bi1 0.801 0.944 0.245 1
Bi2 0.944 0.444 0.245 1
Bi3 0.444 0.301 0.245 1
Bi4 0.699 0.199 0.755 1
Bi5 0.556 0.699 0.755 1
Bi6 0.056 0.556 0.755 1
Bi7 0.301 0.801 0.245 1
Bi8 0.199 0.056 0.755 1
```